GGA-PBEsol Ti6Ge2B, optimized geometry; formation energy from the elements = -0.67 eV/atom; total moment = 0.00 μB per formula unit
1.0
3.323 0.000 0.000
0.000 6.766 0.000
0.000 -3.383 5.859
Ge Ti B
2 6 1
Direct
0.500 0.333 0.667 Ge
0.500 0.667 0.333 Ge
0.000 0.394 0.000 Ti
0.000 0.000 0.394 Ti
0.500 0.765 0.000 Ti
0.000 0.606 0.606 Ti
0.500 0.235 0.235 Ti
0.500 0.000 0.765 Ti
0.000 0.000 0.000 B

***

GGA-PBEsol ZnGe2B, optimized geometry; formation energy from the elements = 0.88 eV/atom; total moment = 0.00 μB per formula unit
1.0
4.353 0.000 0.000
2.177 3.770 0.000
2.177 1.257 3.554
Zn B Ge
1 1 2
Direct
0.500 0.500 0.500 Zn
0.000 0.000 0.000 B
0.250 0.250 0.250 Ge
0.750 0.750 0.750 Ge

***

GGA-PBEsol ZnGeB2, optimized geometry; formation energy from the elements = 1.30 eV/atom; total moment = 0.00 μB per formula unit
1.0
-3.209 1.670 1.739
-1.711 -1.767 3.172
0.327 1.660 3.640
Ge Zn B
1 1 2
Direct
0.500 0.500 0.500 Ge
0.000 0.000 0.000 Zn
0.250 0.250 0.250 B
0.750 0.750 0.750 B

***

GGA-PBEsol B10H13, optimized geometry; total DFT energy (no corrections) = -4.978 eV/atom; total moment = 0.00 μB per formula unit
1.0
-6.483 1.525 2.335
-5.145 -1.810 -13.151
-2.397 -14.734 2.966
H B
104 80
Direct
0.181 0.239 0.891 H
0.790 0.267 0.572 H
0.795 0.084 0.168 H
0.421 0.506 0.868 H
0.245 0.824 0.265 H
0.520 0.685 0.384 H
0.275 0.544 0.134 H
0.572 0.324 0.419 H
0.527 0.096 0.579 H
0.197 0.363 0.322 H
0.894 0.826 0.577 H
0.079 0.994 0.368 H
0.755 0.176 0.735 H
0.010 0.605 0.790 H
0.803 0.637 0.678 H
0.556 0.219 0.286 H
0.428 0.676 0.581 H
0.965 0.474 0.650 H
0.908 0.604 0.068 H
0.843 0.431 0.313 H
0.571 0.758 0.493 H
0.154 0.163 0.262 H
0.376 0.732 0.130 H
0.092 0.396 0.932 H
0.465 0.974 0.850 H
0.071 0.258 0.007 H
0.020 0.185 0.116 H
0.095 0.992 0.159 H
0.841 0.814 0.336 H
0.681 0.739 0.610 H
0.535 0.026 0.150 H
0.973 0.404 0.079 H
0.283 0.344 0.039 H
0.303 0.137 0.822 H
0.479 0.583 0.993 H
0.710 0.233 0.072 H
0.783 0.844 0.461 H
0.579 0.494 0.132 H
0.157 0.569 0.687 H
0.944 0.281 0.786 H
0.589 0.083 0.951 H
0.929 0.742 0.993 H
0.705 0.416 0.668 H
0.197 0.025 0.994 H
0.510 0.105 0.710 H
0.803 0.975 0.006 H
0.021 0.917 0.493 H
0.846 0.837 0.738 H
0.980 0.815 0.884 H
0.184 0.489 0.247 H
0.654 0.663 0.238 H
0.124 0.768 0.630 H
0.717 0.656 0.961 H
0.205 0.916 0.832 H
0.159 0.186 0.664 H
0.725 0.456 0.866 H
0.316 0.011 0.747 H
0.911 0.417 0.451 H
0.657 0.069 0.813 H
0.429 0.242 0.507 H
0.072 0.824 0.081 H
0.089 0.583 0.549 H
0.745 0.324 0.235 H
0.990 0.395 0.210 H
0.775 0.044 0.366 H
0.979 0.083 0.507 H
0.341 0.314 0.164 H
0.255 0.676 0.765 H
0.684 0.989 0.253 H
0.405 0.508 0.659 H
0.606 0.674 0.077 H
0.480 0.315 0.616 H
0.473 0.904 0.421 H
0.816 0.511 0.753 H
0.056 0.719 0.214 H
0.592 0.896 0.568 H
0.346 0.337 0.762 H
0.595 0.492 0.341 H
0.225 0.956 0.634 H
0.490 0.895 0.290 H
0.928 0.176 0.919 H
0.659 0.686 0.836 H
0.624 0.268 0.870 H
0.295 0.584 0.332 H
0.394 0.326 0.923 H
0.319 0.261 0.390 H
0.411 0.917 0.049 H
0.106 0.174 0.423 H
0.343 0.931 0.187 H
0.035 0.526 0.350 H
0.217 0.156 0.539 H
0.921 0.006 0.632 H
0.876 0.232 0.370 H
0.027 0.596 0.921 H
0.905 0.008 0.841 H
0.210 0.733 0.428 H
0.408 0.104 0.432 H
0.290 0.767 0.928 H
0.697 0.525 0.506 H
0.444 0.781 0.714 H
0.521 0.417 0.007 H
0.819 0.761 0.109 H
0.697 0.863 0.178 H
0.303 0.475 0.494 H
0.774 0.999 0.792 B
0.805 0.403 0.230 B
0.760 0.894 0.007 B
0.491 0.747 0.074 B
0.152 0.222 0.593 B
0.009 0.753 0.574 B
0.721 0.499 0.175 B
0.443 0.950 0.356 B
0.943 0.450 0.144 B
0.695 0.097 0.730 B
0.959 0.839 0.494 B
0.274 0.103 0.266 B
0.198 0.331 0.395 B
0.652 0.068 0.208 B
0.624 0.843 0.921 B
0.305 0.903 0.270 B
0.636 0.041 0.321 B
0.136 0.541 0.179 B
0.260 0.394 0.493 B
0.486 0.862 0.726 B
0.557 0.050 0.644 B
0.024 0.358 0.473 B
0.848 0.778 0.407 B
0.221 0.999 0.325 B
0.524 0.858 0.027 B
0.917 0.814 0.051 B
0.509 0.253 0.926 B
0.089 0.429 0.859 B
0.476 0.142 0.973 B
0.055 0.735 0.460 B
0.876 0.657 0.421 B
0.411 0.071 0.359 B
0.917 0.595 0.327 B
0.445 0.765 0.960 B
0.226 0.397 0.766 B
0.774 0.603 0.234 B
0.226 0.001 0.208 B
0.083 0.405 0.673 B
0.124 0.343 0.579 B
0.459 0.339 0.006 B
0.364 0.959 0.679 B
0.240 0.106 0.993 B
0.726 0.501 0.292 B
0.302 0.169 0.895 B
0.779 0.001 0.675 B
0.857 0.805 0.938 B
0.740 0.606 0.507 B
0.348 0.932 0.792 B
0.864 0.459 0.821 B
0.279 0.501 0.825 B
0.417 0.314 0.449 B
0.976 0.642 0.527 B
0.514 0.138 0.274 B
0.991 0.247 0.426 B
0.376 0.157 0.079 B
0.143 0.195 0.062 B
0.357 0.305 0.562 B
0.802 0.669 0.605 B
0.911 0.571 0.141 B
0.589 0.929 0.641 B
0.848 0.432 0.708 B
0.986 0.362 0.774 B
0.945 0.265 0.540 B
0.083 0.186 0.949 B
0.726 0.897 0.734 B
0.041 0.161 0.506 B
0.195 0.597 0.770 B
0.652 0.722 0.907 B
0.274 0.499 0.708 B
0.348 0.278 0.093 B
0.555 0.235 0.040 B
0.643 0.695 0.438 B
0.583 0.686 0.551 B
0.014 0.638 0.226 B
0.057 0.550 0.856 B
0.417 0.095 0.173 B
0.541 0.661 0.994 B
0.583 0.905 0.827 B
0.152 0.568 0.292 B
0.698 0.831 0.105 B

***

GGA-PBEsol B2H3, optimized geometry; total DFT energy (no corrections) = -4.805 eV/atom; total moment = 0.00 μB per formula unit
1.0
10.060 0.000 0.000
0.000 10.005 0.000
0.000 0.000 13.192
B H
64 96
Direct
0.304 0.600 0.440 B
0.295 0.702 0.327 B
0.914 0.428 0.166 B
0.086 0.572 0.834 B
0.174 0.654 0.244 B
0.330 0.617 0.218 B
0.586 0.928 0.834 B
0.848 0.561 0.092 B
0.170 0.617 0.718 B
0.586 0.428 0.666 B
0.830 0.383 0.282 B
0.414 0.072 0.166 B
0.648 0.366 0.121 B
0.152 0.439 0.908 B
0.330 0.117 0.282 B
0.852 0.366 0.621 B
0.674 0.346 0.256 B
0.326 0.154 0.756 B
0.326 0.654 0.744 B
0.815 0.523 0.565 B
0.414 0.572 0.334 B
0.848 0.061 0.408 B
0.670 0.383 0.782 B
0.205 0.202 0.673 B
0.348 0.939 0.092 B
0.652 0.061 0.908 B
0.196 0.600 0.940 B
0.804 0.900 0.440 B
0.148 0.134 0.121 B
0.196 0.100 0.560 B
0.705 0.298 0.673 B
0.795 0.798 0.327 B
0.914 0.928 0.334 B
0.815 0.023 0.935 B
0.826 0.846 0.744 B
0.352 0.634 0.879 B
0.652 0.561 0.592 B
0.685 0.023 0.435 B
0.852 0.866 0.879 B
0.315 0.477 0.935 B
0.670 0.883 0.718 B
0.352 0.134 0.621 B
0.148 0.634 0.379 B
0.830 0.883 0.218 B
0.205 0.702 0.827 B
0.804 0.400 0.060 B
0.696 0.900 0.940 B
0.185 0.977 0.065 B
0.685 0.523 0.065 B
0.674 0.846 0.244 B
0.170 0.117 0.782 B
0.826 0.346 0.756 B
0.795 0.298 0.173 B
0.304 0.100 0.060 B
0.174 0.154 0.256 B
0.152 0.939 0.592 B
0.086 0.072 0.666 B
0.348 0.439 0.408 B
0.315 0.977 0.565 B
0.705 0.798 0.827 B
0.295 0.202 0.173 B
0.185 0.477 0.435 B
0.696 0.400 0.560 B
0.648 0.866 0.379 B
0.913 0.802 0.693 H
0.382 0.952 0.196 H
0.161 0.652 0.017 H
0.882 0.548 0.196 H
0.413 0.698 0.693 H
0.339 0.152 0.983 H
0.391 0.624 0.140 H
0.236 0.877 0.121 H
0.609 0.876 0.640 H
0.586 0.644 0.551 H
0.032 0.415 0.161 H
0.891 0.376 0.360 H
0.914 0.144 0.449 H
0.617 0.076 0.498 H
0.736 0.623 0.121 H
0.264 0.877 0.621 H
0.764 0.623 0.621 H
0.587 0.802 0.193 H
0.414 0.356 0.449 H
0.914 0.644 0.051 H
0.032 0.915 0.339 H
0.468 0.415 0.661 H
0.117 0.424 0.498 H
0.618 0.548 0.696 H
0.675 0.182 0.660 H
0.161 0.152 0.483 H
0.892 0.985 0.850 H
0.736 0.123 0.379 H
0.441 0.194 0.581 H
0.941 0.806 0.919 H
0.414 0.856 0.051 H
0.609 0.376 0.860 H
0.339 0.652 0.517 H
0.559 0.306 0.081 H
0.721 0.958 0.202 H
0.383 0.424 0.998 H
0.883 0.076 0.998 H
0.661 0.348 0.483 H
0.608 0.485 0.150 H
0.279 0.542 0.702 H
0.883 0.576 0.502 H
0.118 0.952 0.696 H
0.325 0.818 0.340 H
0.175 0.318 0.660 H
0.779 0.458 0.798 H
0.532 0.085 0.161 H
0.086 0.856 0.551 H
0.059 0.194 0.081 H
0.839 0.348 0.983 H
0.559 0.806 0.419 H
0.675 0.682 0.840 H
0.587 0.302 0.307 H
0.392 0.515 0.850 H
0.413 0.198 0.807 H
0.392 0.015 0.650 H
0.468 0.915 0.839 H
0.059 0.694 0.419 H
0.086 0.356 0.949 H
0.109 0.124 0.860 H
0.764 0.123 0.879 H
0.108 0.515 0.350 H
0.391 0.124 0.360 H
0.087 0.198 0.307 H
0.779 0.958 0.702 H
0.264 0.377 0.879 H
0.617 0.576 0.002 H
0.441 0.694 0.919 H
0.618 0.048 0.804 H
0.941 0.306 0.581 H
0.839 0.848 0.517 H
0.108 0.015 0.150 H
0.586 0.144 0.949 H
0.383 0.924 0.502 H
0.236 0.377 0.379 H
0.968 0.585 0.839 H
0.825 0.182 0.160 H
0.661 0.848 0.017 H
0.325 0.318 0.160 H
0.891 0.876 0.140 H
0.892 0.485 0.650 H
0.882 0.048 0.304 H
0.118 0.452 0.804 H
0.109 0.624 0.640 H
0.913 0.302 0.807 H
0.221 0.042 0.298 H
0.087 0.698 0.193 H
0.721 0.458 0.298 H
0.221 0.542 0.202 H
0.968 0.085 0.661 H
0.608 0.985 0.350 H
0.175 0.818 0.840 H
0.825 0.682 0.340 H
0.117 0.924 0.002 H
0.382 0.452 0.304 H
0.532 0.585 0.339 H
0.279 0.042 0.798 H